LiPrDyAu (PBE-GGA, relaxed); energy of formation = -350 meV per atom; density of states at the Fermi level = 4.1 states/eV per cell; energy relative to the lowest polymorph listed for this composition = 20 meV per atom; SG = F-43m
1.0
-4.9398 -0.7147 1.5151
-1.3378 -4.3365 2.5716
-1.2372 0.2460 5.0613
Pr Li Au Dy
1 1 1 1
Cartesian
-1.8787 -1.2013 2.2870
0.0000 0.0000 0.0000
-3.7574 -2.4026 4.5740
-5.6361 -3.6039 6.8610